This record from Alexandria via LeMat-Bulk describes a geometry-optimized Mn3VF structure. The functional is GGA+U.

Lattice parameters (Å, degrees): 4.480 4.480 4.480 90.00 90.00 90.00
Sites, in units of the cell vectors:
Mn1 0.000 0.000 0.500
Mn2 0.000 0.500 0.000
Mn3 0.500 0.000 0.000
V1 0.500 0.500 0.500
F1 0.000 0.000 0.000

Summary:
**Calculated total energy**: -6.169 eV per atom
**V**: 17.986 A^3/atom
**Density**: 4.335 g cm⁻³
**Space-group type**: Pm-3m